Record 1
BiN2OF: optimized geometry, PBEsol.

## Properties
E_form (uncorrected) (eV per atom): 1.412
Electronic total energy (eV per atom): -4.291
Magnetic moment (μB/cell): 4.65
Volume (Å³/cell): 84.8

Lattice parameters (Å, degrees): 4.351 4.414 4.414 90.00 90.00 90.00
Atoms (fractional coordinates):
N 0.000 0.500 0.000
N 0.000 0.000 0.500
F 0.500 0.000 0.000
O 0.500 0.500 0.500
Bi 0.000 0.000 0.000



Record 2
RbBiNF2: optimized geometry, PBEsol.

## Properties
E_form (uncorrected) (eV per atom): -1.212
Electronic total energy (eV per atom): -4.751
Magnetic moment (μB/cell): 0.15
Volume (Å³/cell): 94.4

Lattice parameters (Å, degrees): 4.276 4.698 4.698 90.00 90.00 90.00
Atoms (fractional coordinates):
Rb 0.500 0.500 0.500
F 0.000 0.500 0.000
F 0.000 0.000 0.500
N 0.500 0.000 0.000
Bi 0.000 0.000 0.000



Record 3
BiSbN2F: optimized geometry, PBEsol.

## Properties
E_form (uncorrected) (eV per atom): 0.176
Electronic total energy (eV per atom): -5.389
Magnetic moment (μB/cell): 0.00
Volume (Å³/cell): 72.4

Lattice parameters (Å, degrees): 4.138 4.182 4.182 90.00 90.00 90.00
Atoms (fractional coordinates):
N 0.000 0.000 0.500
N 0.000 0.500 0.000
Bi 0.500 0.500 0.500
Sb 0.000 0.000 0.000
F 0.500 0.000 0.000



> The lowest E_form (uncorrected) belongs to which entry?

RbBiNF2



> Number 3 is which compound?

BiSbN2F



> What is the volume in the first record?

84.8 Å³/cell